# BiW | OQMD via LeMat-Bulk | GGA-PBE | optimized geometry
data_BiW
_space_group_name_H-M_alt 'P 1'
_space_group_IT_number 1
_cell_length_a 3.7500
_cell_length_b 10.5197
_cell_length_c 4.4842
_cell_angle_alpha 90.00
_cell_angle_beta 90.00
_cell_angle_gamma 90.00
loop_
_space_group_symop_operation_xyz
'x,y,z'
loop_
_atom_site_label
_atom_site_fract_x
_atom_site_fract_y
_atom_site_fract_z
_atom_site_occupancy
Bi1 0.0000 0.1509 0.2500 1
Bi2 0.0000 0.8491 0.7500 1
Bi3 0.5000 0.3491 0.7500 1
Bi4 0.5000 0.6509 0.2500 1
W1 0.0000 0.4351 0.2500 1
W2 0.0000 0.5649 0.7500 1
W3 0.5000 0.0649 0.7500 1
W4 0.5000 0.9351 0.2500 1
# E above lowest polymorph ... 0.321 eV per atom

# LuIrNO | OQMD via LeMat-Bulk | GGA-PBE | optimized geometry
data_LuIrNO
_space_group_name_H-M_alt 'P 1'
_space_group_IT_number 1
_cell_length_a 3.7619
_cell_length_b 3.7619
_cell_length_c 7.3500
_cell_angle_alpha 90.00
_cell_angle_beta 90.00
_cell_angle_gamma 90.00
loop_
_space_group_symop_operation_xyz
'x,y,z'
loop_
_atom_site_label
_atom_site_fract_x
_atom_site_fract_y
_atom_site_fract_z
_atom_site_occupancy
Lu1 0.2500 0.2500 0.1441 1
Lu2 0.7500 0.7500 0.8559 1
Ir1 0.2500 0.7500 0.5000 1
Ir2 0.7500 0.2500 0.5000 1
N1 0.2500 0.2500 0.6519 1
N2 0.7500 0.7500 0.3481 1
O1 0.2500 0.7500 0.0000 1
O2 0.7500 0.2500 0.0000 1
# E above lowest polymorph ... 0.000 eV per atom

# Na3Hg2 | OQMD via LeMat-Bulk | GGA-PBE | optimized geometry
data_Na3Hg2
_space_group_name_H-M_alt 'P 1'
_space_group_IT_number 1
_cell_length_a 8.4232
_cell_length_b 8.4232
_cell_length_c 7.7025
_cell_angle_alpha 90.00
_cell_angle_beta 90.00
_cell_angle_gamma 90.00
loop_
_space_group_symop_operation_xyz
'x,y,z'
loop_
_atom_site_label
_atom_site_fract_x
_atom_site_fract_y
_atom_site_fract_z
_atom_site_occupancy
Na1 0.0000 0.5000 0.2500 1
Na2 0.0000 0.5000 0.7500 1
Na3 0.1410 0.1410 0.0000 1
Na4 0.2032 0.2032 0.5000 1
Na5 0.2968 0.7032 0.0000 1
Na6 0.3590 0.6410 0.5000 1
Na7 0.5000 0.0000 0.2500 1
Na8 0.5000 0.0000 0.7500 1
Na9 0.6410 0.3590 0.5000 1
Na10 0.7032 0.2968 0.0000 1
Na11 0.7968 0.7968 0.5000 1
Na12 0.8590 0.8590 0.0000 1
Hg1 0.1286 0.8714 0.3046 1
Hg2 0.1286 0.8714 0.6954 1
Hg3 0.3714 0.3714 0.1954 1
Hg4 0.3714 0.3714 0.8046 1
Hg5 0.6286 0.6286 0.1954 1
Hg6 0.6286 0.6286 0.8046 1
Hg7 0.8714 0.1286 0.3046 1
Hg8 0.8714 0.1286 0.6954 1
# E above lowest polymorph ... 0.002 eV per atom

# BaSmZnSe3 | OQMD via LeMat-Bulk | GGA-PBE | optimized geometry
data_BaSmZnSe3
_space_group_name_H-M_alt 'P 1'
_space_group_IT_number 1
_cell_length_a 7.3960
_cell_length_b 7.3960
_cell_length_c 10.9665
_cell_angle_alpha 90.00
_cell_angle_beta 90.00
_cell_angle_gamma 145.27
loop_
_space_group_symop_operation_xyz
'x,y,z'
loop_
_atom_site_label
_atom_site_fract_x
_atom_site_fract_y
_atom_site_fract_z
_atom_site_occupancy
Ba1 0.2474 0.7526 0.7500 1
Ba2 0.7526 0.2474 0.2500 1
Sm1 0.0000 0.0000 0.0000 1
Sm2 0.0000 0.0000 0.5000 1
Zn1 0.4799 0.5201 0.2500 1
Zn2 0.5201 0.4799 0.7500 1
Se1 0.0722 0.9278 0.2500 1
Se2 0.3664 0.6336 0.0707 1
Se3 0.3664 0.6336 0.4293 1
Se4 0.6336 0.3664 0.5707 1
Se5 0.6336 0.3664 0.9293 1
Se6 0.9278 0.0722 0.7500 1
# Raw total energy ... -4.506 eV per atom

# FeMo4PN2 | OQMD via LeMat-Bulk | GGA-PBE | optimized geometry
data_FeMo4PN2
_space_group_name_H-M_alt 'P 1'
_space_group_IT_number 1
_cell_length_a 2.9296
_cell_length_b 2.9296
_cell_length_c 13.2621
_cell_angle_alpha 90.00
_cell_angle_beta 90.00
_cell_angle_gamma 120.00
loop_
_space_group_symop_operation_xyz
'x,y,z'
loop_
_atom_site_label
_atom_site_fract_x
_atom_site_fract_y
_atom_site_fract_z
_atom_site_occupancy
Fe1 0.0000 0.0000 0.0000 1
Mo1 0.0000 0.0000 0.3629 1
Mo2 0.0000 0.0000 0.6371 1
Mo3 0.6667 0.3333 0.1588 1
Mo4 0.6667 0.3333 0.8412 1
P1 0.6667 0.3333 0.5000 1
N1 0.3333 0.6667 0.2578 1
N2 0.3333 0.6667 0.7422 1
# Raw total energy ... -9.234 eV per atom

# GdInPO | OQMD via LeMat-Bulk | GGA-PBE | optimized geometry
data_GdInPO
_space_group_name_H-M_alt 'P 1'
_space_group_IT_number 1
_cell_length_a 4.3704
_cell_length_b 4.3704
_cell_length_c 8.1979
_cell_angle_alpha 90.00
_cell_angle_beta 90.00
_cell_angle_gamma 90.00
loop_
_space_group_symop_operation_xyz
'x,y,z'
loop_
_atom_site_label
_atom_site_fract_x
_atom_site_fract_y
_atom_site_fract_z
_atom_site_occupancy
Gd1 0.2500 0.2500 0.1017 1
Gd2 0.7500 0.7500 0.8983 1
In1 0.2500 0.7500 0.5000 1
In2 0.7500 0.2500 0.5000 1
P1 0.2500 0.2500 0.6912 1
P2 0.7500 0.7500 0.3088 1
O1 0.2500 0.7500 0.0000 1
O2 0.7500 0.2500 0.0000 1
# E above lowest polymorph ... 0.000 eV per atom

# Li4Au3 | OQMD via LeMat-Bulk | GGA-PBE | optimized geometry
data_Li4Au3
_space_group_name_H-M_alt 'P 1'
_space_group_IT_number 1
_cell_length_a 2.8863
_cell_length_b 3.6473
_cell_length_c 20.1149
_cell_angle_alpha 90.00
_cell_angle_beta 90.00
_cell_angle_gamma 90.00
loop_
_space_group_symop_operation_xyz
'x,y,z'
loop_
_atom_site_label
_atom_site_fract_x
_atom_site_fract_y
_atom_site_fract_z
_atom_site_occupancy
Li1 0.0000 0.0000 0.0724 1
Li2 0.0000 0.0000 0.2130 1
Li3 0.0000 0.0000 0.7870 1
Li4 0.0000 0.0000 0.9276 1
Li5 0.5000 0.5000 0.2870 1
Li6 0.5000 0.5000 0.4276 1
Li7 0.5000 0.5000 0.5724 1
Li8 0.5000 0.5000 0.7130 1
Au1 0.0000 0.0000 0.3516 1
Au2 0.0000 0.0000 0.5000 1
Au3 0.0000 0.0000 0.6484 1
Au4 0.5000 0.5000 0.0000 1
Au5 0.5000 0.5000 0.1484 1
Au6 0.5000 0.5000 0.8516 1
# Raw total energy ... -3.010 eV per atom

# HfBNO | OQMD via LeMat-Bulk | GGA-PBE | optimized geometry
data_HfBNO
_space_group_name_H-M_alt 'P 1'
_space_group_IT_number 1
_cell_length_a 8.2999
_cell_length_b 7.3718
_cell_length_c 2.7391
_cell_angle_alpha 90.00
_cell_angle_beta 90.44
_cell_angle_gamma 90.00
loop_
_space_group_symop_operation_xyz
'x,y,z'
loop_
_atom_site_label
_atom_site_fract_x
_atom_site_fract_y
_atom_site_fract_z
_atom_site_occupancy
Hf1 0.0000 0.2392 0.0000 1
Hf2 0.0000 0.7608 0.0000 1
Hf3 0.5000 0.2608 0.0000 1
Hf4 0.5000 0.7392 0.0000 1
B1 0.2616 0.0000 0.4955 1
B2 0.2723 0.5000 0.5042 1
B3 0.7616 0.5000 0.4955 1
B4 0.7723 0.0000 0.5042 1
N1 0.3500 0.0000 0.9973 1
N2 0.3690 0.5000 0.0059 1
N3 0.8500 0.5000 0.9973 1
N4 0.8690 0.0000 0.0059 1
O1 0.1742 0.3353 0.5024 1
O2 0.1742 0.6647 0.5024 1
O3 0.6742 0.1647 0.5024 1
O4 0.6742 0.8353 0.5024 1
# E above lowest polymorph ... 0.205 eV per atom

# Ta2SnIr2Pb | OQMD via LeMat-Bulk | GGA-PBE | optimized geometry
data_Ta2SnIr2Pb
_space_group_name_H-M_alt 'P 1'
_space_group_IT_number 1
_cell_length_a 10.8683
_cell_length_b 4.4336
_cell_length_c 10.8771
_cell_angle_alpha 90.00
_cell_angle_beta 109.48
_cell_angle_gamma 90.00
loop_
_space_group_symop_operation_xyz
'x,y,z'
loop_
_atom_site_label
_atom_site_fract_x
_atom_site_fract_y
_atom_site_fract_z
_atom_site_occupancy
Ta1 0.0000 0.0000 0.0000 1
Ta2 0.1236 0.5000 0.3708 1
Ta3 0.2498 0.0000 0.7468 1
Ta4 0.3744 0.5000 0.1221 1
Ta5 0.4983 0.0000 0.4955 1
Ta6 0.6250 0.5000 0.8746 1
Ta7 0.7509 0.0000 0.2464 1
Ta8 0.8760 0.5000 0.6203 1
Sn1 0.2490 0.0000 0.2464 1
Sn2 0.5001 0.0000 0.9975 1
Sn3 0.8746 0.5000 0.1221 1
Sn4 0.9995 0.0000 0.4954 1
Ir1 0.0008 0.0000 0.7425 1
Ir2 0.1232 0.5000 0.1252 1
Ir3 0.2460 0.0000 0.4931 1
Ir4 0.3789 0.5000 0.8761 1
Ir5 0.4954 0.0000 0.2429 1
Ir6 0.6242 0.5000 0.6213 1
Ir7 0.7506 0.0000 0.0024 1
Ir8 0.8782 0.5000 0.3710 1
Pb1 0.1250 0.5000 0.8734 1
Pb2 0.3737 0.5000 0.6222 1
Pb3 0.6254 0.5000 0.3707 1
Pb4 0.7508 0.0000 0.7490 1
# Raw total energy ... -8.498 eV per atom

# HfMgTlIr | OQMD via LeMat-Bulk | GGA-PBE | optimized geometry
data_HfMgTlIr
_space_group_name_H-M_alt 'P 1'
_space_group_IT_number 1
_cell_length_a 6.7169
_cell_length_b 6.7169
_cell_length_c 6.7169
_cell_angle_alpha 90.00
_cell_angle_beta 90.00
_cell_angle_gamma 90.00
loop_
_space_group_symop_operation_xyz
'x,y,z'
loop_
_atom_site_label
_atom_site_fract_x
_atom_site_fract_y
_atom_site_fract_z
_atom_site_occupancy
Hf1 0.0000 0.0000 0.0000 1
Hf2 0.0000 0.5000 0.5000 1
Hf3 0.5000 0.0000 0.5000 1
Hf4 0.5000 0.5000 0.0000 1
Mg1 0.0000 0.0000 0.5000 1
Mg2 0.0000 0.5000 0.0000 1
Mg3 0.5000 0.0000 0.0000 1
Mg4 0.5000 0.5000 0.5000 1
Tl1 0.2500 0.2500 0.7500 1
Tl2 0.2500 0.7500 0.2500 1
Tl3 0.7500 0.2500 0.2500 1
Tl4 0.7500 0.7500 0.7500 1
Ir1 0.2500 0.2500 0.2500 1
Ir2 0.2500 0.7500 0.7500 1
Ir3 0.7500 0.2500 0.7500 1
Ir4 0.7500 0.7500 0.2500 1
# E above lowest polymorph ... 0.000 eV per atom